[1]
Here is an optimized crystal structure of Np2Co5Ge3 from the Alexandria database. Energies are from PBE.

a = 7.9251 Å, b = 7.9251 Å, c = 7.9251 Å
α = 98.50°, β = 95.26°, γ = 139.51°
Positions (direct):
Np (0.2425, 0.1239, 0.3665)
Np (0.2575, 0.6239, 0.8814)
Np (0.7425, 0.3761, 0.1186)
Np (0.7575, 0.8761, 0.6335)
Co (0.1626, 0.3842, 0.5468)
Co (0.2500, 0.2500, 0.0000)
Co (0.2500, 0.5200, 0.2700)
Co (0.2500, 0.9800, 0.7300)
Co (0.3374, 0.8842, 0.2216)
Co (0.6626, 0.1158, 0.7784)
Co (0.7500, 0.0200, 0.2700)
Co (0.7500, 0.4800, 0.7300)
Co (0.7500, 0.7500, 0.0000)
Co (0.8374, 0.6158, 0.4532)
Ge (0.1173, 0.8671, 0.9844)
Ge (0.2500, 0.7500, 0.5000)
Ge (0.3827, 0.3671, 0.7498)
Ge (0.6173, 0.6329, 0.2502)
Ge (0.7500, 0.2500, 0.5000)
Ge (0.8827, 0.1329, 0.0156)

**Energy of formation from the pure elements**: -17.1 kJ per mole of atoms



[2]
Here is an optimized crystal structure of Ce5Si6Ge from the Alexandria database. Energies are from PBE.

a = 8.0802 Å, b = 8.0802 Å, c = 5.6756 Å
α = 100.24°, β = 100.24°, γ = 125.59°
Positions (direct):
Ce (0.0000, 0.0000, 0.0000)
Ce (0.1957, 0.8043, 0.5000)
Ce (0.3965, 0.6035, 0.0000)
Ce (0.6035, 0.3965, 0.0000)
Ce (0.8043, 0.1957, 0.5000)
Si (0.0246, 0.6263, 0.8964)
Si (0.1728, 0.1728, 0.5964)
Si (0.3737, 0.9754, 0.1036)
Si (0.6263, 0.0246, 0.8964)
Si (0.8272, 0.8272, 0.4036)
Si (0.9754, 0.3737, 0.1036)
Ge (0.5000, 0.5000, 0.5000)

**Formation energy from raw total energies**: -0.52 eV per atom



[3]
Here is an optimized crystal structure of Ce2PrErAs4 from the Alexandria database. Energies are from PBE.

a = 7.2795 Å, b = 4.2078 Å, c = 7.2909 Å
α = 90.00°, β = 109.48°, γ = 90.00°
Positions (direct):
Ce (0.0000, 0.0000, 0.0000)
Ce (0.0000, 0.5000, 0.5000)
Pr (0.5000, 0.0000, 0.5000)
Er (0.5000, 0.5000, 0.0000)
As (0.2466, 0.5000, 0.2419)
As (0.2519, 0.0000, 0.7575)
As (0.7481, 0.0000, 0.2425)
As (0.7534, 0.5000, 0.7581)

**Energy of formation from the pure elements**: -141.0 kJ per mole of atoms



[4]
Here is an optimized crystal structure of CsAgGeSe3 from the Alexandria database. Energies are from PBE.

a = 7.7484 Å, b = 7.7484 Å, c = 9.1110 Å
α = 109.79°, β = 109.79°, γ = 59.50°
Positions (direct):
Cs (0.1930, 0.1930, 0.2205)
Cs (0.8070, 0.8070, 0.7795)
Ag (0.2142, 0.7858, 0.5000)
Ag (0.7858, 0.2142, 0.5000)
Ge (0.4634, 0.4634, 0.7464)
Ge (0.5366, 0.5366, 0.2536)
Se (0.1792, 0.6919, 0.2034)
Se (0.2835, 0.2835, 0.6744)
Se (0.3081, 0.8208, 0.7966)
Se (0.6919, 0.1792, 0.2034)
Se (0.7165, 0.7165, 0.3256)
Se (0.8208, 0.3081, 0.7966)

**Formation energy from raw total energies**: -0.47 eV per atom



[5]
Here is an optimized crystal structure of PuBTe from the Alexandria database. Energies are from PBE.

a = 4.3363 Å, b = 17.2143 Å, c = 3.2846 Å
α = 90.00°, β = 90.00°, γ = 90.00°
Positions (direct):
Pu (0.0000, 0.0487, 0.2500)
Pu (0.0000, 0.9513, 0.7500)
Pu (0.5000, 0.4513, 0.7500)
Pu (0.5000, 0.5487, 0.2500)
B (0.0000, 0.4783, 0.2500)
B (0.0000, 0.5217, 0.7500)
B (0.5000, 0.0217, 0.7500)
B (0.5000, 0.9783, 0.2500)
Te (0.0000, 0.3427, 0.2500)
Te (0.0000, 0.6573, 0.7500)
Te (0.5000, 0.1573, 0.7500)
Te (0.5000, 0.8427, 0.2500)

**Formation energy from raw total energies**: -0.09 eV per atom



[6]
Here is an optimized crystal structure of MgMo2Cl from the Alexandria database. Energies are from PBE.

a = 3.1321 Å, b = 5.0215 Å, c = 10.5214 Å
α = 90.00°, β = 90.00°, γ = 90.00°
Positions (direct):
Mg (0.0000, 0.0000, 0.0000)
Mg (0.5000, 0.5000, 0.5000)
Mo (0.0000, 0.0000, 0.5239)
Mo (0.0000, 0.5000, 0.8544)
Mo (0.5000, 0.0000, 0.3544)
Mo (0.5000, 0.5000, 0.0239)
Cl (0.0000, 0.5000, 0.2379)
Cl (0.5000, 0.0000, 0.7379)

**Excess energy over the best structure of this formula in the dataset**: 496 meV/atom
**Formation energy from raw total energies**: 0.46 eV per atom